Entry 1:
Compound: SrRe2Ru
Source: Alexandria
Functional: PBE
Structure: optimized geometry

Computed properties:
Calculated total energy: -0.300 Ha/atom
Energy above the lowest structure with this stoichiometry: 0.217 eV per atom
V: 20.009 Å³ per atom
ΔE_f: 0.8099 eV/atom

Unit cell a=3.2722 b=3.2722 c=7.4749 alpha=90.00 beta=90.00 gamma=90.00
Space group P4/mmm (No. 123)
Inequivalent atoms, fractional coordinates:
Sr 0.0000 0.0000 0.0000 x1
Re 0.5000 0.5000 0.3334 x2
Ru 0.0000 0.0000 0.5000 x1

=====

Entry 2:
Compound: Y4Er19Tm6
Source: Alexandria
Functional: PBE
Structure: optimized geometry

Computed properties:
Calculated total energy: -0.162 Ha/atom
V: 32.650 Å³ per atom
ΔE_f: 0.4059 eV/atom

Unit cell a=12.3719 b=12.3719 c=12.3719 alpha=90.00 beta=90.00 gamma=90.00
Space group I23 (No. 197)
Inequivalent atoms, fractional coordinates:
Y 0.1780 0.1780 0.1780 x8
Er 0.0000 0.0000 0.0000 x2
Er 0.0000 0.0000 0.2647 x12
Er 0.0639 0.2747 0.7369 x24
Tm 0.0000 0.1291 0.5000 x12

=====

Entry 3:
Compound: TbPr2Nd2
Source: Alexandria
Functional: PBE
Structure: optimized geometry

Computed properties:
Calculated total energy: -0.169 Ha/atom
Energy above the lowest structure with this stoichiometry: 0.000 eV per atom
V: 35.299 Å³ per atom
ΔE_f: 0.1360 eV/atom

Unit cell a=12.0164 b=3.5317 c=8.9565 alpha=90.00 beta=111.77 gamma=90.00
Space group C2/m (No. 12)
Inequivalent atoms, fractional coordinates:
Tb 0.0000 0.0000 0.0000 x2
Pr 0.1778 0.5000 0.8001 x4
Nd 0.1065 0.0000 0.4096 x4

=====

Entry 4:
Compound: MgGaRu
Source: Alexandria
Functional: PBE
Structure: optimized geometry

Computed properties:
Calculated total energy: -0.179 Ha/atom
V: 15.729 Å³ per atom
ΔE_f: -0.2463 eV/atom

Unit cell a=3.2162 b=3.2162 c=9.1241 alpha=90.00 beta=90.00 gamma=90.00
Space group I4mm (No. 107)
Inequivalent atoms, fractional coordinates:
Mg 0.0000 0.0000 0.0000 x2
Ga 0.0000 0.0000 0.3027 x2
Ru 0.0000 0.0000 0.6754 x2

=====

Entry 5:
Compound: ZnIr2PdI
Source: Alexandria
Functional: PBE
Structure: optimized geometry

Computed properties:
Raw formation energy: 1.55 eV/atom
Calculated total energy: -0.132 Ha/atom
V: 23.325 Å³ per atom

Unit cell a=4.8837 b=4.8837 c=4.8898 alpha=90.00 beta=90.00 gamma=90.00
Space group P4/mmm (No. 123)
Inequivalent atoms, fractional coordinates:
Zn 0.0000 0.0000 0.0000 x1
Ir 0.0000 0.5000 0.5000 x2
Pd 0.5000 0.5000 0.0000 x1
I 0.5000 0.5000 0.5000 x1

=====

Entry 6:
Compound: Pa2Si3Ni4Pd
Source: Alexandria
Functional: PBE
Structure: optimized geometry

Computed properties:
Raw formation energy: -0.69 eV/atom
Calculated total energy: -0.259 Ha/atom
V: 15.311 Å³ per atom

Unit cell a=3.8542 b=3.8542 c=10.3066 alpha=90.00 beta=90.00 gamma=90.00
Space group P-4m2 (No. 115)
Inequivalent atoms, fractional coordinates:
Pa 0.0000 0.5000 0.2489 x2
Si 0.0000 0.5000 0.8804 x2
Si 0.5000 0.5000 0.5000 x1
Ni 0.0000 0.0000 0.0000 x1
Ni 0.0000 0.5000 0.6605 x2
Ni 0.5000 0.5000 0.0000 x1
Pd 0.0000 0.0000 0.5000 x1

=====

Entry 7:
Compound: CsScCuRu2
Source: Alexandria
Functional: PBE
Structure: optimized geometry

Computed properties:
Calculated total energy: -0.174 Ha/atom
V: 22.513 Å³ per atom
ΔE_f: 1.2271 eV/atom

Unit cell a=4.8278 b=4.8278 c=4.8294 alpha=90.00 beta=90.00 gamma=90.00
Space group P4/mmm (No. 123)
Inequivalent atoms, fractional coordinates:
Cs 0.0000 0.0000 0.0000 x1
Sc 0.5000 0.5000 0.0000 x1
Cu 0.5000 0.5000 0.5000 x1
Ru 0.0000 0.5000 0.5000 x2

=====

Entry 8:
Compound: LiMg2BiAu4
Source: Alexandria
Functional: PBE
Structure: optimized geometry

Computed properties:
Calculated total energy: -0.117 Ha/atom
V: 19.493 Å³ per atom
ΔE_f: -0.4239 eV/atom

Unit cell a=4.5950 b=4.5950 c=25.5859 alpha=90.00 beta=90.00 gamma=120.00
Space group R-3m (No. 166, hexagonal axes)
Inequivalent atoms, fractional coordinates:
Li 0.0000 0.0000 0.0000 x3
Mg 0.0000 0.0000 0.2602 x6
Bi 0.0000 0.0000 0.5000 x3
Au 0.0000 0.0000 0.1056 x6
Au 0.0000 0.0000 0.3689 x6

=====

Entry 9:
Compound: MgHgSb4
Source: Alexandria
Functional: PBE
Structure: optimized geometry

Computed properties:
Raw formation energy: 0.19 eV/atom
Calculated total energy: -0.106 Ha/atom
V: 29.144 Å³ per atom

Unit cell a=8.8767 b=8.8767 c=8.8767 alpha=90.00 beta=90.00 gamma=90.00
Space group F-43m (No. 216)
Inequivalent atoms, fractional coordinates:
Mg 0.0000 0.0000 0.0000 x4
Hg 0.2500 0.2500 0.2500 x4
Sb 0.1242 0.1242 0.6242 x16

=====

| no. | DOS(E_F) (states/eV/f.u.) |
| --- | --- |
| 1 | 2.396 |
| 2 | 47.101 |
| 3 | 7.952 |
| 4 | 1.668 |
| 5 | 4.975 |
| 6 | 6.904 |
| 7 | 6.573 |
| 8 | 2.827 |
| 9 | 3.092 |